A plane-wave DFT calculation with PBE was carried out for a geometry-optimized TcAgP2Au structure.

Results
Space group: P4/mmm
ΔH_f (0 K): 1.5058 eV/atom
D(E_F): 3.1 states/eV per cell

```
TcAgP2Au
1.0
4.6883 0.0000 0.0000
0.0000 5.0510 0.0000
0.0000 0.0000 4.6883
P Au Tc Ag
2 1 1 1
Cartesian
0.0000 0.0000 2.3442
2.3442 0.0000 0.0000
0.0000 2.5255 0.0000
2.3442 2.5255 2.3442
0.0000 0.0000 0.0000
```

***

A plane-wave DFT calculation with PBE was carried out for a geometry-optimized AgTeP2Au structure.

Results
Space group: P4/mmm
D(E_F): 3.9 states/eV per cell
Formation energy without anion corrections: 0.95 eV/atom

```
AgTeP2Au
1.0
-4.1005 -0.6199 -2.3050
2.3161 -2.1416 -3.5441
-0.7107 -5.1550 2.6507
P Te Au Ag
2 1 1 1
Cartesian
1.1580 -1.0708 -1.7721
-2.0503 -0.3100 -1.1525
-0.3553 -2.5775 1.3253
0.0000 0.0000 0.0000
-1.2475 -3.9583 -1.5993
```